! Ni3AsSe5 | Alexandria | PBE | optimized geometry; values from VASP
&SYSTEM
  ibrav = 0, nat = 18, ntyp = 3
/
ATOMIC_SPECIES
Se 78.96 Se.upf
Ni 58.69 Ni.upf
As 74.92 As.upf
CELL_PARAMETERS angstrom
-2.743 -1.881 -1.632
2.669 -5.098 1.390
-7.294 -0.437 12.768
ATOMIC_POSITIONS angstrom
Se -4.607 -5.719 10.132
Se -2.703 -3.440 8.510
Se 0.242 -5.427 1.643
Ni -1.267 -3.568 2.038
Se 0.486 -1.942 1.421
Se -2.762 -1.697 2.394
As -4.381 -2.221 9.925
Ni -6.102 -3.848 10.489
Ni -3.684 -3.708 6.263
Se -7.611 -1.989 10.883
Ni 0.000 0.000 0.000
Ni -4.859 -0.300 8.515
As -0.245 -3.315 4.232
Ni 0.233 -5.235 5.643
Se -5.112 -3.593 12.737
Se -2.174 -5.567 5.867
Se -1.923 -2.095 5.648
Se -5.194 -1.849 6.659
! Magnetization   0.00 μB per cell
! Formation energy (no corrections)   -0.260 eV per atom
! Space group   No. 10
! DFT total energy   -0.3410 Ry per atom